The following is a DFT calculation (PBE) of a geometry-optimized YCoAs2 structure.

Geometry as CIF:
```
data_YCoAs2
_chemical_formula_sum 'Y1 Co1 As2'
_cell_length_a 4.690
_cell_length_b 4.690
_cell_length_c 4.690
_cell_angle_alpha 60.00
_cell_angle_beta 60.00
_cell_angle_gamma 60.00
_symmetry_space_group_name_H-M 'P 1'
_symmetry_Int_Tables_number 1
_symmetry_space_group_name_Hall 'P 1'
loop_
_atom_site_label
_atom_site_type_symbol
_atom_site_fract_x
_atom_site_fract_y
_atom_site_fract_z
Y1 Y 0.000 0.000 0.000
Co1 Co 0.750 0.750 0.750
As1 As 0.250 0.250 0.250
As2 As 0.500 0.500 0.500
```

Summary:
SG	F-43m, No. 216
final energy	-23.2	eV per cell
magnetic moment	1.24	μB per cell
crystal system	cubic

The following is a DFT calculation (PBE) of a geometry-optimized YZnCoAs structure.

Geometry as CIF:
```
data_YZnCoAs
_chemical_formula_sum 'Y1 Zn1 Co1 As1'
_cell_length_a 4.609
_cell_length_b 4.609
_cell_length_c 4.609
_cell_angle_alpha 60.00
_cell_angle_beta 60.00
_cell_angle_gamma 60.00
_symmetry_space_group_name_H-M 'P 1'
_symmetry_Int_Tables_number 1
_symmetry_space_group_name_Hall 'P 1'
loop_
_atom_site_label
_atom_site_type_symbol
_atom_site_fract_x
_atom_site_fract_y
_atom_site_fract_z
Y1 Y 0.000 0.000 0.000
Zn1 Zn 0.750 0.750 0.750
Co1 Co 0.500 0.500 0.500
As1 As 0.250 0.250 0.250
```

Summary:
SG	F-43m, No. 216
final energy	-20.4	eV per cell
magnetic moment	0.97	μB per cell
crystal system	cubic

The following is a DFT calculation (PBE) of a geometry-optimized YZnCoAs structure.

Geometry as CIF:
```
data_YZnCoAs
_chemical_formula_sum 'Y1 Zn1 Co1 As1'
_cell_length_a 4.598
_cell_length_b 4.598
_cell_length_c 4.598
_cell_angle_alpha 60.00
_cell_angle_beta 60.00
_cell_angle_gamma 60.00
_symmetry_space_group_name_H-M 'P 1'
_symmetry_Int_Tables_number 1
_symmetry_space_group_name_Hall 'P 1'
loop_
_atom_site_label
_atom_site_type_symbol
_atom_site_fract_x
_atom_site_fract_y
_atom_site_fract_z
Y1 Y 0.000 0.000 0.000
Zn1 Zn 0.250 0.250 0.250
Co1 Co 0.750 0.750 0.750
As1 As 0.500 0.500 0.500
```

Summary:
SG	F-43m, No. 216
final energy	-20.0	eV per cell
magnetic moment	0.38	μB per cell
crystal system	cubic

The following is a DFT calculation (PBE) of a geometry-optimized ZrCoAs2 structure.

Geometry as CIF:
```
data_ZrCoAs2
_chemical_formula_sum 'Zr1 Co1 As2'
_cell_length_a 4.561
_cell_length_b 4.561
_cell_length_c 4.561
_cell_angle_alpha 60.00
_cell_angle_beta 60.00
_cell_angle_gamma 60.00
_symmetry_space_group_name_H-M 'P 1'
_symmetry_Int_Tables_number 1
_symmetry_space_group_name_Hall 'P 1'
loop_
_atom_site_label
_atom_site_type_symbol
_atom_site_fract_x
_atom_site_fract_y
_atom_site_fract_z
Zr1 Zr 0.000 0.000 0.000
Co1 Co 0.750 0.750 0.750
As1 As 0.250 0.250 0.250
As2 As 0.500 0.500 0.500
```

Summary:
SG	F-43m, No. 216
final energy	-25.0	eV per cell
magnetic moment	0.49	μB per cell
crystal system	cubic

The following is a DFT calculation (PBE) of a geometry-optimized Zr3CoAs structure.

Geometry as CIF:
```
data_Zr3CoAs
_chemical_formula_sum 'Zr6 Co2 As2'
_cell_length_a 6.202
_cell_length_b 6.202
_cell_length_c 9.670
_cell_angle_alpha 90.00
_cell_angle_beta 90.00
_cell_angle_gamma 147.11
_symmetry_space_group_name_H-M 'P 1'
_symmetry_Int_Tables_number 1
_symmetry_space_group_name_Hall 'P 1'
loop_
_atom_site_label
_atom_site_type_symbol
_atom_site_fract_x
_atom_site_fract_y
_atom_site_fract_z
Zr1 Zr 0.086 0.914 0.750
Zr2 Zr 0.344 0.656 0.583
Zr3 Zr 0.344 0.656 0.917
Zr4 Zr 0.656 0.344 0.083
Zr5 Zr 0.656 0.344 0.417
Zr6 Zr 0.914 0.086 0.250
Co1 Co 0.253 0.747 0.250
Co2 Co 0.747 0.253 0.750
As1 As 0.000 0.000 0.000
As2 As 0.000 0.000 0.500
```

Summary:
SG	Cmcm, No. 63
final energy	-79.9	eV per cell
magnetic moment	0.01	μB per cell
crystal system	orthorhombic

The following is a DFT calculation (PBE) of a geometry-optimized ZrCoAs2 structure.

Geometry as CIF:
```
data_ZrCoAs2
_chemical_formula_sum 'Zr1 Co1 As2'
_cell_length_a 4.558
_cell_length_b 4.558
_cell_length_c 4.558
_cell_angle_alpha 60.00
_cell_angle_beta 60.00
_cell_angle_gamma 60.00
_symmetry_space_group_name_H-M 'P 1'
_symmetry_Int_Tables_number 1
_symmetry_space_group_name_Hall 'P 1'
loop_
_atom_site_label
_atom_site_type_symbol
_atom_site_fract_x
_atom_site_fract_y
_atom_site_fract_z
Zr1 Zr 0.000 0.000 0.000
Co1 Co 0.250 0.250 0.250
As1 As 0.500 0.500 0.500
As2 As 0.750 0.750 0.750
```

Summary:
SG	F-43m, No. 216
final energy	-25.0	eV per cell
magnetic moment	0.51	μB per cell
crystal system	cubic

The following is a DFT calculation (PBE) of a geometry-optimized Zr3Co4As structure.

Geometry as CIF:
```
data_Zr3Co4As
_chemical_formula_sum 'Zr3 Co4 As1'
_cell_length_a 5.291
_cell_length_b 4.145
_cell_length_c 5.649
_cell_angle_alpha 90.00
_cell_angle_beta 90.52
_cell_angle_gamma 90.00
_symmetry_space_group_name_H-M 'P 1'
_symmetry_Int_Tables_number 1
_symmetry_space_group_name_Hall 'P 1'
loop_
_atom_site_label
_atom_site_type_symbol
_atom_site_fract_x
_atom_site_fract_y
_atom_site_fract_z
Zr1 Zr 0.000 0.000 0.000
Zr2 Zr 0.176 0.000 0.501
Zr3 Zr 0.708 0.500 0.508
Co1 Co 0.215 0.500 0.761
Co2 Co 0.216 0.500 0.241
Co3 Co 0.555 0.000 0.775
Co4 Co 0.560 0.000 0.238
As1 As 0.580 0.500 0.006
```

Summary:
SG	Pm, No. 6
final energy	-61.0	eV per cell
magnetic moment	0.01	μB per cell
crystal system	monoclinic

The following is a DFT calculation (PBE) of a geometry-optimized CsCu4As3 structure.

Geometry as CIF:
```
data_CsCu4As3
_chemical_formula_sum 'Cs1 Cu4 As3'
_cell_length_a 4.104
_cell_length_b 4.104
_cell_length_c 10.088
_cell_angle_alpha 90.00
_cell_angle_beta 90.00
_cell_angle_gamma 90.00
_symmetry_space_group_name_H-M 'P 1'
_symmetry_Int_Tables_number 1
_symmetry_space_group_name_Hall 'P 1'
loop_
_atom_site_label
_atom_site_type_symbol
_atom_site_fract_x
_atom_site_fract_y
_atom_site_fract_z
Cs1 Cs 0.000 0.000 0.000
Cu1 Cu 0.000 0.500 0.357
Cu2 Cu 0.000 0.500 0.643
Cu3 Cu 0.500 0.000 0.357
Cu4 Cu 0.500 0.000 0.643
As1 As 0.000 0.000 0.500
As2 As 0.500 0.500 0.232
As3 As 0.500 0.500 0.768
```

Summary:
SG	P4/mmm, No. 123
final energy	-30.5	eV per cell
crystal system	tetragonal

The following is a DFT calculation (PBE) of a geometry-optimized CsK3Cu2As2 structure.

Geometry as CIF:
```
data_CsK3Cu2As2
_chemical_formula_sum 'Cs1 K3 Cu2 As2'
_cell_length_a 6.394
_cell_length_b 6.102
_cell_length_c 6.553
_cell_angle_alpha 90.00
_cell_angle_beta 107.71
_cell_angle_gamma 90.00
_symmetry_space_group_name_H-M 'P 1'
_symmetry_Int_Tables_number 1
_symmetry_space_group_name_Hall 'P 1'
loop_
_atom_site_label
_atom_site_type_symbol
_atom_site_fract_x
_atom_site_fract_y
_atom_site_fract_z
Cs1 Cs 0.000 0.000 0.000
K1 K 0.302 0.500 0.316
K2 K 0.656 0.000 0.332
K3 K 0.961 0.500 0.643
Cu1 Cu 0.471 0.252 0.822
Cu2 Cu 0.471 0.748 0.822
As1 As 0.254 0.000 0.574
As2 As 0.701 0.500 0.064
```

Summary:
SG	Pm, No. 6
final energy	-23.5	eV per cell
crystal system	monoclinic

The following is a DFT calculation (PBE) of a geometry-optimized CsNaCuAs structure.

Geometry as CIF:
```
data_CsNaCuAs
_chemical_formula_sum 'Cs2 Na2 Cu2 As2'
_cell_length_a 6.603
_cell_length_b 5.430
_cell_length_c 6.800
_cell_angle_alpha 90.00
_cell_angle_beta 102.26
_cell_angle_gamma 90.00
_symmetry_space_group_name_H-M 'P 1'
_symmetry_Int_Tables_number 1
_symmetry_space_group_name_Hall 'P 1'
loop_
_atom_site_label
_atom_site_type_symbol
_atom_site_fract_x
_atom_site_fract_y
_atom_site_fract_z
Cs1 Cs 0.055 0.250 0.207
Cs2 Cs 0.945 0.750 0.793
Na1 Na 0.396 0.750 0.574
Na2 Na 0.604 0.250 0.426
Cu1 Cu 0.500 0.000 0.000
Cu2 Cu 0.500 0.500 0.000
As1 As 0.331 0.250 0.732
As2 As 0.669 0.750 0.268
```

Summary:
SG	P2_1/m, No. 11
final energy	-23.7	eV per cell
crystal system	monoclinic

The following is a DFT calculation (PBE) of a geometry-optimized Cs3NaCu2As2 structure.

Geometry as CIF:
```
data_Cs3NaCu2As2
_chemical_formula_sum 'Cs3 Na1 Cu2 As2'
_cell_length_a 6.700
_cell_length_b 6.123
_cell_length_c 6.725
_cell_angle_alpha 90.00
_cell_angle_beta 106.87
_cell_angle_gamma 90.00
_symmetry_space_group_name_H-M 'P 1'
_symmetry_Int_Tables_number 1
_symmetry_space_group_name_Hall 'P 1'
loop_
_atom_site_label
_atom_site_type_symbol
_atom_site_fract_x
_atom_site_fract_y
_atom_site_fract_z
Cs1 Cs 0.000 0.000 0.000
Cs2 Cs 0.319 0.500 0.300
Cs3 Cs 0.680 0.000 0.361
Na1 Na 0.047 0.500 0.697
Cu1 Cu 0.477 0.239 0.806
Cu2 Cu 0.477 0.761 0.806
As1 As 0.236 0.000 0.589
As2 As 0.726 0.500 0.973
```

Summary:
SG	Pm, No. 6
final energy	-22.9	eV per cell
crystal system	monoclinic

The following is a DFT calculation (PBE) of a geometry-optimized CsNa3Cu2As2 structure.

Geometry as CIF:
```
data_CsNa3Cu2As2
_chemical_formula_sum 'Cs1 Na3 Cu2 As2'
_cell_length_a 6.041
_cell_length_b 5.367
_cell_length_c 6.779
_cell_angle_alpha 90.00
_cell_angle_beta 109.82
_cell_angle_gamma 90.00
_symmetry_space_group_name_H-M 'P 1'
_symmetry_Int_Tables_number 1
_symmetry_space_group_name_Hall 'P 1'
loop_
_atom_site_label
_atom_site_type_symbol
_atom_site_fract_x
_atom_site_fract_y
_atom_site_fract_z
Cs1 Cs 0.000 0.000 0.000
Na1 Na 0.318 0.500 0.375
Na2 Na 0.642 0.000 0.324
Na3 Na 0.956 0.500 0.591
Cu1 Cu 0.440 0.256 0.840
Cu2 Cu 0.440 0.744 0.840
As1 As 0.238 0.000 0.553
As2 As 0.650 0.500 0.133
```

Summary:
SG	Pm, No. 6
final energy	-23.9	eV per cell
crystal system	monoclinic